Computed, not measured: ScSbPt2 at its PBEsol-relaxed geometry at the meta-GGA SCAN level of DFT.

```
ScSbPt2
1.0
3.6399 0.0000 0.0000
0.0000 3.6399 0.0000
0.0000 0.0000 5.5860
Sc Sb Pt
1 1 2
direct
0.0000 0.0000 0.0000
0.5000 0.5000 0.6568
0.0000 0.0000 0.4910
0.5000 0.5000 0.1761
```

Calculated values
As for the total moment: 0.00 μB/cell. The formation energy from raw total energies is -824 meV/atom.


Computed, not measured: Sr2ScSbPt at its PBEsol-relaxed geometry at the meta-GGA SCAN level of DFT.

```
Sr2ScSbPt
1.0
5.7032 0.0000 0.0000
0.0000 5.7032 0.0000
0.0000 0.0000 5.0995
Sr Sc Sb Pt
2 1 1 1
direct
0.0000 0.5000 0.0000
0.5000 0.0000 0.0000
0.0000 0.0000 0.5000
0.5000 0.5000 0.5000
0.5000 0.5000 0.0000
```

Calculated values
As for the total moment: 1.29 μB/cell. The formation energy from raw total energies is -235 meV/atom.


Computed, not measured: Sc2SbPtW at its PBEsol-relaxed geometry at the meta-GGA SCAN level of DFT.

```
Sc2SbPtW
1.0
4.8985 0.0000 0.0000
0.0000 4.8985 0.0000
0.0000 0.0000 4.9919
Sc Sb Pt W
2 1 1 1
direct
0.0000 0.5000 0.0000
0.5000 0.0000 0.0000
0.0000 0.0000 0.5000
0.5000 0.5000 0.5000
0.0000 0.0000 0.0000
```

Calculated values
As for the total moment: 0.00 μB/cell. The formation energy from raw total energies is 612 meV/atom.


Computed, not measured: SbPt2Se at its PBEsol-relaxed geometry at the meta-GGA SCAN level of DFT.

```
SbPt2Se
1.0
6.5095 0.0000 0.0000
0.0000 3.7507 0.0000
-2.1549 0.0000 6.2464
Sb Pt Se
2 4 2
direct
0.0000 0.0000 0.0000
0.5000 0.5000 0.0000
0.2482 0.0000 0.7444
0.2518 0.5000 0.2556
0.7482 0.5000 0.7444
0.7518 0.0000 0.2556
0.0000 0.5000 0.5000
0.5000 0.0000 0.5000
```

Calculated values
As for the total moment: 0.00 μB/cell. The formation energy from raw total energies is -213 meV/atom.


Computed, not measured: Sb2Pt2Se at its PBEsol-relaxed geometry at the meta-GGA SCAN level of DFT.

```
Sb2Pt2Se
1.0
3.8129 0.0000 0.0000
0.0000 3.8129 0.0000
0.0000 0.0000 14.8022
Sb Pt Se
4 4 2
direct
0.0000 0.0000 0.1190
0.0000 0.0000 0.8810
0.5000 0.5000 0.3810
0.5000 0.5000 0.6190
0.0000 0.5000 0.2500
0.0000 0.5000 0.7500
0.5000 0.0000 0.2500
0.5000 0.0000 0.7500
0.0000 0.0000 0.5000
0.5000 0.5000 0.0000
```

Calculated values
As for the total moment: 0.00 μB/cell. The formation energy from raw total energies is -210 meV/atom.


Computed, not measured: SiSbPt2 at its PBEsol-relaxed geometry at the meta-GGA SCAN level of DFT.

```
SiSbPt2
1.0
3.0266 0.0000 0.0000
0.0000 3.0266 0.0000
0.0000 0.0000 7.3236
Si Sb Pt
1 1 2
direct
0.0000 0.0000 0.0000
0.0000 0.0000 0.5000
0.5000 0.5000 0.1905
0.5000 0.5000 0.8095
```

Calculated values
As for the total moment: 0.00 μB/cell. The formation energy from raw total energies is -235 meV/atom.


Computed, not measured: Si2SbPt at its PBEsol-relaxed geometry at the meta-GGA SCAN level of DFT.

```
Si2SbPt
1.0
7.3651 0.0000 0.0000
0.0000 3.5707 0.0000
-2.2478 0.0000 5.6496
Si Sb Pt
4 2 2
direct
0.0000 0.0000 0.0000
0.2336 0.0000 0.8186
0.5000 0.5000 0.0000
0.7336 0.5000 0.8186
0.1999 0.5000 0.3724
0.6999 0.0000 0.3724
0.4797 0.0000 0.6396
0.9797 0.5000 0.6396
```

Calculated values
As for the total moment: 0.00 μB/cell. The formation energy from raw total energies is -76 meV/atom.


Computed, not measured: SiSbPt2 at its PBEsol-relaxed geometry at the meta-GGA SCAN level of DFT.

```
SiSbPt2
1.0
6.4676 0.0000 0.0000
0.0000 6.4676 0.0000
0.0000 0.0000 6.4676
Si Sb Pt
4 4 8
direct
0.0000 0.0000 0.0000
0.0000 0.5000 0.5000
0.5000 0.0000 0.5000
0.5000 0.5000 0.0000
0.0000 0.0000 0.5000
0.0000 0.5000 0.0000
0.5000 0.0000 0.0000
0.5000 0.5000 0.5000
0.2500 0.2500 0.2500
0.2500 0.2500 0.7500
0.2500 0.7500 0.2500
0.2500 0.7500 0.7500
0.7500 0.2500 0.2500
0.7500 0.2500 0.7500
0.7500 0.7500 0.2500
0.7500 0.7500 0.7500
```

Calculated values
As for the total moment: 0.00 μB/cell. The formation energy from raw total energies is 59 meV/atom.


Computed, not measured: YSnSb2Pt at its PBEsol-relaxed geometry at the meta-GGA SCAN level of DFT.

```
YSnSb2Pt
1.0
5.6184 0.0000 0.0000
0.0000 5.6184 0.0000
0.0000 0.0000 5.0644
Y Sn Sb Pt
1 1 2 1
direct
0.0000 0.0000 0.0000
0.5000 0.5000 0.5000
0.0000 0.5000 0.0000
0.5000 0.0000 0.0000
0.0000 0.0000 0.5000
```

Calculated values
As for the total moment: 0.00 μB/cell. The formation energy from raw total energies is 559 meV/atom.


Computed, not measured: SrSbPt3 at its PBEsol-relaxed geometry at the meta-GGA SCAN level of DFT.

```
SrSbPt3
1.0
5.0624 0.0000 0.0000
0.0000 5.0624 0.0000
0.0000 0.0000 5.0624
Sr Sb Pt
1 1 3
direct
0.0000 0.0000 0.0000
0.5000 0.5000 0.5000
0.0000 0.0000 0.5000
0.0000 0.5000 0.0000
0.5000 0.0000 0.0000
```

Calculated values
As for the total moment: 0.00 μB/cell. The formation energy from raw total energies is 1580 meV/atom.


Computed, not measured: Sr4SbPt at its PBEsol-relaxed geometry at the meta-GGA SCAN level of DFT.

```
Sr4SbPt
1.0
0.0000 4.5444 4.5444
4.5444 0.0000 4.5444
4.5444 4.5444 0.0000
Sr Sb Pt
4 1 1
direct
0.1251 0.1251 0.1251
0.1251 0.1251 0.6246
0.1251 0.6246 0.1251
0.6246 0.1251 0.1251
0.7500 0.7500 0.7500
0.5000 0.5000 0.5000
```

Calculated values
As for the total moment: 0.00 μB/cell. The formation energy from raw total energies is 341 meV/atom.


Computed, not measured: SrSb2Pt at its PBEsol-relaxed geometry at the meta-GGA SCAN level of DFT.

```
SrSb2Pt
1.0
6.0774 0.0000 0.0000
0.0000 8.3181 0.0000
0.0000 0.0000 4.2120
Sr Sb Pt
2 4 2
direct
0.0000 0.0000 0.0000
0.5000 0.5000 0.0000
0.0000 0.3059 0.5000
0.0000 0.6941 0.5000
0.5000 0.1941 0.5000
0.5000 0.8059 0.5000
0.0000 0.5000 0.0000
0.5000 0.0000 0.0000
```

Calculated values
As for the total moment: 0.00 μB/cell. The formation energy from raw total energies is -877 meV/atom.


Q: What is the formula in the second record?
A: Sr2ScSbPt